No. 1
Below is a geometry-optimized Cs2CaCe2S6 structure, with properties calculated at the PBE level.

* symmetry: No. 12
* formation energy from raw total energies: -1.7545 eV/atom
* E: -59.6 eV/cell

abc: 7.1822 7.1822 8.4819
angles: 97.68 97.68 120.29
Positions (direct):
S 0.2893 0.2893 0.3238
S 0.0533 0.4039 0.6758
S 0.5961 0.9467 0.3242
S 0.7107 0.7107 0.6762
S 0.9467 0.5961 0.3242
S 0.4039 0.0533 0.6758
Cs 0.1625 0.8375 0.0000
Cs 0.8375 0.1625 0.0000
Ce 0.3344 0.6656 0.5000
Ce 0.6656 0.3344 0.5000
Ca 0.0000 0.0000 0.5000

No. 2
Below is a geometry-optimized Nd4Ge6Rh7 structure, with properties calculated at the PBE level.

* symmetry: No. 229
* E: -112.9 eV/cell
* calculated formation energy: -83 kJ per mole of atoms

abc: 7.4199 7.4199 7.4199
angles: 109.47 109.47 109.47
Positions (direct):
Nd 0.0000 0.0000 0.5000
Nd 0.5000 0.0000 0.0000
Nd 0.0000 0.5000 0.0000
Nd 0.5000 0.5000 0.5000
Rh 0.2500 0.5000 0.7500
Rh 0.5000 0.2500 0.7500
Rh 0.7500 0.5000 0.2500
Rh 0.0000 0.0000 0.0000
Rh 0.5000 0.7500 0.2500
Rh 0.2500 0.7500 0.5000
Rh 0.7500 0.2500 0.5000
Ge 0.0000 0.3280 0.3280
Ge 0.3280 0.0000 0.3280
Ge 0.6720 0.6720 0.0000
Ge 0.3280 0.3280 0.0000
Ge 0.6720 0.0000 0.6720
Ge 0.0000 0.6720 0.6720

No. 3
Below is a geometry-optimized FeTc2W structure, with properties calculated at the PBE level.

* symmetry: No. 99
* E: -41.6 eV/cell
* calculated formation energy: 14 kJ per mole of atoms

abc: 2.7130 2.7130 7.6475
angles: 90.00 90.00 90.01
Last column: magnetic moment on the atom in μB.
Positions (direct):
Fe 0.5000 0.5000 0.7575  1.06
Tc 0.5000 0.5000 0.2411  0.08
Tc 0.0000 0.0000 0.9849  -0.02
W 0.0000 0.0000 0.5165  -0.07

No. 4
Below is a geometry-optimized IrRh2O structure, with properties calculated at the PBE level.

* symmetry: No. 122
* formation energy from raw total energies: 0.4176 eV/atom
* E: -53.7 eV/cell

abc: 6.3989 6.3989 5.2237
angles: 52.23 52.23 90.00
Positions (direct):
Rh 0.8750 0.8148 0.7500
Rh 0.1852 0.6250 0.2500
Rh 0.5648 0.1250 0.2500
Rh 0.3750 0.4352 0.7500
O 0.5000 0.5000 0.0000
O 0.2500 0.7500 0.5000
Ir 0.7500 0.2500 0.5000
Ir 0.0000 0.0000 0.0000

No. 5
Below is a geometry-optimized TbDyEr2Te6 structure, with properties calculated at the PBE level.

* symmetry: No. 146
* formation energy from raw total energies: -1.3546 eV/atom
* E: -50.8 eV/cell

abc: 7.6677 7.6676 8.2847
angles: 62.44 62.44 60.01
Positions (direct):
Te 0.7337 0.1045 0.7497
Te 0.9110 0.6055 0.2507
Te 0.4121 0.7338 0.7498
Te 0.2327 0.9110 0.2507
Te 0.6056 0.2327 0.2507
Te 0.1045 0.4120 0.7497
Dy 0.8229 0.8228 0.5315
Er 0.5082 0.5082 0.4754
Er 0.0083 0.0082 0.9752
Tb 0.3227 0.3228 0.0318

No. 6
Below is a geometry-optimized ErHfNi10 structure, with properties calculated at the PBE level.

* symmetry: No. 47
* E: -76.1 eV/cell
* calculated formation energy: -30 kJ per mole of atoms

abc: 3.9607 4.7862 8.2868
angles: 90.00 90.00 90.00
Last column: magnetic moment on the atom in μB.
Positions (direct):
Ni 0.5000 0.2534 0.7443  0.34
Ni 0.5000 0.0000 0.5000  0.35
Ni 0.0000 0.5000 0.1745  0.24
Ni 0.0000 0.0000 0.6604  0.22
Ni 0.5000 0.5000 0.0000  0.32
Ni 0.0000 0.5000 0.8255  0.24
Ni 0.5000 0.7466 0.7443  0.34
Ni 0.5000 0.2534 0.2557  0.34
Ni 0.5000 0.7466 0.2557  0.34
Ni 0.0000 0.0000 0.3396  0.22
Hf 0.0000 0.5000 0.5000  -0.07
Er 0.0000 0.0000 0.0000  -0.07

No. 7
Below is a geometry-optimized ZrHg2Ge4 structure, with properties calculated at the PBE level.

* symmetry: No. 139
* E: -24.7 eV/cell
* calculated formation energy: 40 kJ per mole of atoms

abc: 5.3690 5.3690 7.6732
angles: 69.52 69.52 90.00
Positions (direct):
Ge 0.1945 0.1945 0.6110
Ge 0.5000 0.0000 0.0000
Ge 0.0000 0.5000 0.0000
Ge 0.8055 0.8055 0.3890
Hg 0.6118 0.6118 0.7764
Hg 0.3882 0.3882 0.2236
Zr 0.0000 0.0000 0.0000

No. 8
Below is a geometry-optimized TbHgPd structure, with properties calculated at the PBE level.

* symmetry: No. 51
* E: -73.3 eV/cell
* calculated formation energy: -67 kJ per mole of atoms

abc: 3.7691 7.8511 13.4516
angles: 90.00 90.00 90.00
Positions (direct):
Pd 0.5000 0.0648 0.0943
Pd 0.5000 0.9352 0.9057
Pd 0.0000 0.5555 0.2500
Pd 0.0000 0.4445 0.7500
Pd 0.5000 0.9352 0.5943
Pd 0.5000 0.0648 0.4057
Hg 0.5000 0.4300 0.3927
Hg 0.5000 0.1760 0.7500
Hg 0.5000 0.5700 0.8927
Hg 0.5000 0.4300 0.1073
Hg 0.5000 0.8240 0.2500
Hg 0.5000 0.5700 0.6073
Tb 0.0000 0.7635 0.0502
Tb 0.0000 0.2365 0.9498
Tb 0.0000 0.2365 0.5502
Tb 0.0000 0.1771 0.2500
Tb 0.0000 0.8229 0.7500
Tb 0.0000 0.7635 0.4498

No. 9
Below is a geometry-optimized LaSm2Cd2Sn2 structure, with properties calculated at the PBE level.

* symmetry: No. 166
* E: -26.8 eV/cell
* calculated formation energy: -35 kJ per mole of atoms

abc: 5.0298 5.0298 9.5824
angles: 74.78 74.78 60.00
Positions (direct):
Cd 0.4235 0.4235 0.7295
Cd 0.5765 0.5765 0.2705
Sm 0.8670 0.8670 0.3989
Sm 0.1330 0.1330 0.6011
Sn 0.7346 0.7346 0.7963
Sn 0.2654 0.2654 0.2037
La 0.0000 0.0000 0.0000

No. 10
Below is a geometry-optimized SrGeO2F structure, with properties calculated at the PBE level.

* symmetry: No. 123
* formation energy from raw total energies: -0.9902 eV/atom
* E: -23.0 eV/cell

abc: 4.5987 4.5987 4.4788
angles: 90.00 90.00 90.00
Last column: magnetic moment on the atom in μB.
Positions (direct):
F 0.0000 0.0000 0.5000  -0.01
Sr 0.0000 0.0000 0.0000  0.06
O 0.5000 0.0000 0.0000  0.46
O 0.0000 0.5000 0.0000  0.46
Ge 0.5000 0.5000 0.5000  -0.06

No. 11
Below is a geometry-optimized Rb2LiGeS4 structure, with properties calculated at the PBE level.

* symmetry: No. 121
* formation energy from raw total energies: -0.7906 eV/atom
* E: -31.3 eV/cell

abc: 6.8792 6.6088 6.6088
angles: 74.28 58.64 58.64
Last column: magnetic moment on the atom in μB.
Positions (direct):
Ge 0.5000 0.0000 0.0000  0.00
Rb 0.5000 0.5000 0.5000  0.00
Rb 0.0000 0.5000 0.5000  0.00
S 0.1350 0.2965 0.0000  0.16
S 0.8650 0.0000 0.7035  0.16
S 0.5685 0.0000 0.2965  0.16
S 0.4315 0.7035 0.0000  0.16
Li 0.0000 0.0000 0.0000  0.01

No. 12
Below is a geometry-optimized FeCoW2 structure, with properties calculated at the PBE level.

* distance to the lowest polymorph of the same formula: 0 meV per atom
* symmetry: No. 123
* E: -41.1 eV/cell
* calculated formation energy: 9 kJ per mole of atoms

abc: 2.6932 2.6932 7.3105
angles: 90.00 90.00 90.03
Last column: magnetic moment on the atom in μB.
Positions (direct):
Co 0.5000 0.5000 0.2500  -0.12
W 0.0000 0.0000 0.5022  -0.03
W 0.0000 0.0000 0.9978  -0.03
Fe 0.5000 0.5000 0.7500  0.44

No. 13
Below is a geometry-optimized TbGdTh2 structure, with properties calculated at the PBE level.

* distance to the lowest polymorph of the same formula: 0 meV per atom
* symmetry: No. 123
* E: -33.3 eV/cell
* calculated formation energy: 5 kJ per mole of atoms

abc: 5.1047 5.0162 5.0162
angles: 90.00 90.00 90.00
Last column: magnetic moment on the atom in μB.
Positions (direct):
Gd 0.5000 0.0000 0.0000  7.09
Th 0.0000 0.0000 0.5000  -0.03
Th 0.0000 0.5000 0.0000  -0.03
Tb 0.5000 0.5000 0.5000  -0.01

No. 14
Below is a geometry-optimized GeP2I structure, with properties calculated at the PBE level.

* distance to the lowest polymorph of the same formula: 0 meV per atom
* symmetry: No. 122
* formation energy from raw total energies: 0.5364 eV/atom
* E: -29.7 eV/cell

abc: 6.7965 6.7965 6.5766
angles: 58.89 58.89 90.00
Positions (direct):
I 0.7500 0.2500 0.5000
I 0.0000 0.0000 0.0000
P 0.3750 0.4418 0.7500
P 0.5582 0.1250 0.2500
P 0.8750 0.8082 0.7500
P 0.1918 0.6250 0.2500
Ge 0.2500 0.7500 0.5000
Ge 0.5000 0.5000 0.0000

No. 15
Below is a geometry-optimized LiAcLaNd structure, with properties calculated at the PBE level.

* symmetry: No. 216
* E: -14.9 eV/cell
* calculated formation energy: 20 kJ per mole of atoms

abc: 5.8589 5.8589 5.8589
angles: 60.00 60.00 60.00
Positions (direct):
Li 0.0000 0.0000 0.0000
Ac 0.5000 0.5000 0.5000
La 0.2500 0.2500 0.2500
Nd 0.7500 0.7500 0.7500

No. 16
Below is a geometry-optimized HfZr3Pd2N structure, with properties calculated at the PBE level.

* symmetry: No. 71
* formation energy from raw total energies: -0.7975 eV/atom
* E: -59.9 eV/cell

abc: 4.3635 4.4225 7.4744
angles: 107.21 106.97 90.00
Positions (direct):
Zr 0.0000 0.5000 0.0000
Zr 0.8213 0.8213 0.6426
Zr 0.1787 0.1787 0.3574
N 0.0000 0.0000 0.0000
Pd 0.3670 0.3670 0.7339
Pd 0.6330 0.6330 0.2661
Hf 0.5000 0.0000 0.0000

No. 17
Below is a geometry-optimized LiFeIr structure, with properties calculated at the PBE level.

* distance to the lowest polymorph of the same formula: 11 meV per atom
* symmetry: No. 6
* E: -38.6 eV/cell
* calculated formation energy: -3 kJ per mole of atoms

abc: 6.6333 2.7825 4.3641
angles: 90.00 107.46 90.00
Last column: magnetic moment on the atom in μB.
Positions (direct):
Fe 0.6729 0.0000 0.1914  2.50
Fe 0.3677 0.5000 0.1256  2.54
Ir 0.0335 0.0000 0.9689  0.17
Ir 0.6796 0.5000 0.6958  0.25
Li 0.3309 0.0000 0.6102  -0.04
Li 0.0074 0.5000 0.4544  -0.02

No. 18
Below is a geometry-optimized AlCr2Mo structure, with properties calculated at the PBE level.

* symmetry: No. 99
* E: -33.8 eV/cell
* calculated formation energy: 2 kJ per mole of atoms

abc: 2.9921 2.9921 6.1377
angles: 90.00 90.00 90.00
Last column: magnetic moment on the atom in μB.
Positions (direct):
Mo 0.0000 0.0000 0.4829  0.56
Al 0.5000 0.5000 0.7610  -0.02
Cr 0.0000 0.0000 0.0219  1.89
Cr 0.5000 0.5000 0.2343  -0.68

No. 19
Below is a geometry-optimized Ac2La4Sm structure, with properties calculated at the PBE level.

* distance to the lowest polymorph of the same formula: 497 meV per atom
* symmetry: No. 139
* E: -29.0 eV/cell
* calculated formation energy: 50 kJ per mole of atoms

abc: 5.8007 5.8007 10.1676
angles: 106.57 106.57 90.00
Last column: magnetic moment on the atom in μB.
Positions (direct):
La 0.1758 0.1758 0.3517  0.02
La 0.8242 0.8242 0.6483  0.02
La 0.0000 0.5000 0.0000  0.13
La 0.5000 0.0000 0.0000  0.13
Sm 0.0000 0.0000 0.0000  0.29
Ac 0.6257 0.6257 0.2513  0.00
Ac 0.3743 0.3743 0.7487  0.00

No. 20
Below is a geometry-optimized Be2SeBr structure, with properties calculated at the PBE level.

* distance to the lowest polymorph of the same formula: 316 meV per atom
* symmetry: No. 12
* formation energy from raw total energies: 0.0182 eV/atom
* E: -12.5 eV/cell

abc: 3.5821 3.5821 6.2438
angles: 73.14 73.14 60.00
Positions (direct):
Se 0.2500 0.2500 0.2500
Br 0.7500 0.7500 0.7500
Be 0.5126 0.5126 0.4627
Be 0.9874 0.9874 0.0373